No. 1
Entry from OQMD: an optimized crystal structure of HfCoHgAs (GGA-PBE).

abc: 4.601 4.601 4.601
angles: 60.00 60.00 60.00
Positions (direct):
Hg: 0.500 0.500 0.500
As: 0.000 0.000 0.000
Hf: 0.250 0.250 0.250
Co: 0.750 0.750 0.750

The calculation puts the energy above the most stable polymorph in this dataset at 0.0 kJ per mole of atoms. For the final energy, the calculation gives -5.416 eV per atom.

=====

No. 2
Entry from OQMD: an optimized crystal structure of NaZrAgS3 (GGA-PBE).

abc: 13.094 3.804 10.435
angles: 90.00 90.00 90.00
Positions (direct):
Ag: 0.023 0.750 0.594
Ag: 0.523 0.750 0.906
Ag: 0.477 0.250 0.094
Ag: 0.977 0.250 0.406
Zr: 0.512 0.250 0.669
Zr: 0.488 0.750 0.331
Zr: 0.988 0.750 0.169
Zr: 0.012 0.250 0.831
S: 0.892 0.250 0.640
S: 0.900 0.750 0.936
S: 0.400 0.750 0.564
S: 0.141 0.750 0.778
S: 0.359 0.250 0.278
S: 0.108 0.750 0.360
S: 0.100 0.250 0.064
S: 0.641 0.750 0.722
S: 0.608 0.750 0.140
S: 0.600 0.250 0.436
S: 0.859 0.250 0.222
S: 0.392 0.250 0.860
Na: 0.265 0.750 0.017
Na: 0.735 0.250 0.983
Na: 0.235 0.250 0.517
Na: 0.765 0.750 0.483

The calculation puts the energy above the most stable polymorph in this dataset at 0.0 kJ per mole of atoms. For the final energy, the calculation gives -5.268 eV per atom.

=====

No. 3
Entry from OQMD: an optimized crystal structure of Cu2Ag3 (GGA-PBE).

abc: 4.906 4.906 8.880
angles: 91.43 91.43 46.85
Positions (direct):
Cu: 0.795 0.795 0.586
Cu: 0.898 0.898 0.316
Cu: 0.102 0.102 0.684
Cu: 0.205 0.205 0.414
Ag: 0.304 0.304 0.115
Ag: 0.000 0.000 0.000
Ag: 0.394 0.394 0.785
Ag: 0.696 0.696 0.885
Ag: 0.500 0.500 0.500
Ag: 0.606 0.606 0.215

The calculation puts the energy of formation from the pure elements at 8 kJ/mol of atoms. The calculation puts the energy above the most stable polymorph in this dataset at 5.1 kJ per mole of atoms. For the final energy, the calculation gives -3.096 eV per atom.

=====

Q: What is the final energy in the first record?
A: -5.416 eV per atom

=====

What did the second record say?
Entry from OQMD: an optimized crystal structure of NaZrAgS3 (GGA-PBE).

abc: 13.094 3.804 10.435
angles: 90.00 90.00 90.00
Positions (direct):
Ag: 0.023 0.750 0.594
Ag: 0.523 0.750 0.906
Ag: 0.477 0.250 0.094
Ag: 0.977 0.250 0.406
Zr: 0.512 0.250 0.669
Zr: 0.488 0.750 0.331
Zr: 0.988 0.750 0.169
Zr: 0.012 0.250 0.831
S: 0.892 0.250 0.640
S: 0.900 0.750 0.936
S: 0.400 0.750 0.564
S: 0.141 0.750 0.778
S: 0.359 0.250 0.278
S: 0.108 0.750 0.360
S: 0.100 0.250 0.064
S: 0.641 0.750 0.722
S: 0.608 0.750 0.140
S: 0.600 0.250 0.436
S: 0.859 0.250 0.222
S: 0.392 0.250 0.860
Na: 0.265 0.750 0.017
Na: 0.735 0.250 0.983
Na: 0.235 0.250 0.517
Na: 0.765 0.750 0.483

The calculation puts the energy above the most stable polymorph in this dataset at 0.0 kJ per mole of atoms. For the final energy, the calculation gives -5.268 eV per atom.

=====

Q: Which formula does entry 3 have?
A: Cu2Ag3